Entry 1:
Entry from Alexandria: a relaxed structure of FeNi3B (PBE-GGA).

Cell: 4.237 4.237 4.237 Å, 90.00 90.00 90.00°
Atoms (fractional coordinates):
Fe  0.000  0.000  0.000
Ni  0.000  0.000  0.500
Ni  0.500  0.000  0.000
Ni  0.000  0.500  0.000
B  0.500  0.500  0.500

Calculated values
- Density: 5.30 g/cm3
- Offset from the most stable computed form: 9.39 eV/f.u.
- ΔH_f (0 K): 1.81 eV/atom

Entry 2:
Entry from Alexandria: a relaxed structure of SmHo2Au3 (PBE-GGA).

Cell: 3.588 3.588 10.974 Å, 90.00 90.00 90.00°
Atoms (fractional coordinates):
Ho  0.500  0.500  0.836
Ho  0.500  0.500  0.164
Sm  0.500  0.500  0.500
Au  0.000  0.000  0.322
Au  0.000  0.000  0.000
Au  0.000  0.000  0.678

Calculated values
- Density: 12.59 g/cm3
- ΔH_f (0 K): -0.85 eV/atom

Entry 3:
Entry from Alexandria: a relaxed structure of In2AsBr (PBE-GGA).

Cell: 6.813 6.813 6.813 Å, 150.48 137.15 52.89°
Atoms (fractional coordinates):
In  0.968  0.968  0.000
In  0.732  0.232  0.500
Br  0.261  0.761  0.500
As  0.540  0.540  0.000

Calculated values
- Density: 6.06 g/cm3
- ΔE_f (raw): -74 meV per atom
- Offset from the most stable computed form: 0.84 eV/f.u.

Entry 4:
Entry from Alexandria: a relaxed structure of CoSb3Mo (PBE-GGA).

Cell: 5.203 5.203 5.203 Å, 90.00 90.00 90.00°
Atoms (fractional coordinates):
Sb  0.000  0.500  0.000
Sb  0.500  0.000  0.000
Sb  0.000  0.000  0.500
Co  0.500  0.500  0.500
Mo  0.000  0.000  0.000

Calculated values
- Density: 6.13 g/cm3
- ΔE_f (raw): 1066 meV per atom
- Offset from the most stable computed form: 1.05 eV/f.u.

- What is the formula in the fourth record?
  CoSb3Mo

- What is the density in the first record?
  5.30 g/cm3

- density of number 4 (CoSb3Mo)?
  6.13 g/cm3